Entry i
A plane-wave DFT calculation with GGA-PBE was carried out for a geometry-optimized FeReP2 structure.

The structure in CIF format:
```
data_FeReP2
_symmetry_space_group_name_H-M 'P 4 m m'
_symmetry_Int_Tables_number 99
_cell_length_a 3.079
_cell_length_b 3.079
_cell_length_c 5.259
_cell_angle_alpha 90.00
_cell_angle_beta 90.00
_cell_angle_gamma 90.00
loop_
_symmetry_equiv_pos_as_xyz
'x,y,z'
'-y,x,z'
'-x,-y,z'
'y,-x,z'
'-x,y,z'
'y,x,z'
'x,-y,z'
'-y,-x,z'
loop_
_atom_site_label
_atom_site_type_symbol
_atom_site_fract_x
_atom_site_fract_y
_atom_site_fract_z
Fe1 Fe 0.000 0.000 0.000
Re1 Re 0.500 0.500 0.627
P1 P 0.000 0.000 0.431
P2 P 0.500 0.500 0.132
```



Entry ii
A plane-wave DFT calculation with GGA-PBE was carried out for a geometry-optimized FeReP2 structure.

The structure in CIF format:
```
data_FeReP2
_symmetry_space_group_name_H-M 'F -4 3 m'
_symmetry_Int_Tables_number 216
_symmetry_space_group_name_Hall 'F -4 2 3'
_cell_length_a 5.947
_cell_length_b 5.947
_cell_length_c 5.947
_cell_angle_alpha 90.00
_cell_angle_beta 90.00
_cell_angle_gamma 90.00
loop_
_atom_site_label
_atom_site_type_symbol
_atom_site_fract_x
_atom_site_fract_y
_atom_site_fract_z
Fe1 Fe 0.000 0.000 0.000
Re1 Re 0.250 0.250 0.250
P1 P 0.000 0.000 0.500
P2 P 0.250 0.250 0.750
```



Which of them is most stable, and which least? Most stable: entry i; least stable: entry ii.



Entry i
A plane-wave DFT calculation with GGA-PBE was carried out for a geometry-optimized FeReP2 structure.

The structure in CIF format:
```
data_FeReP2
_symmetry_space_group_name_H-M 'I -4 2 d'
_symmetry_Int_Tables_number 122
_symmetry_space_group_name_Hall 'I -4 2bw'
_cell_length_a 5.258
_cell_length_b 5.258
_cell_length_c 9.784
_cell_angle_alpha 90.00
_cell_angle_beta 90.00
_cell_angle_gamma 90.00
loop_
_atom_site_label
_atom_site_type_symbol
_atom_site_fract_x
_atom_site_fract_y
_atom_site_fract_z
Fe1 Fe 0.000 0.000 0.000
Re1 Re 0.000 0.000 0.500
P1 P 0.227 0.250 0.125
```



Entry ii
A plane-wave DFT calculation with GGA-PBE was carried out for a geometry-optimized FeReP2 structure.

The structure in CIF format:
```
data_FeReP2
_symmetry_space_group_name_H-M 'F m -3 m'
_symmetry_Int_Tables_number 225
_symmetry_space_group_name_Hall '-F 4 2 3'
_cell_length_a 5.783
_cell_length_b 5.783
_cell_length_c 5.783
_cell_angle_alpha 90.00
_cell_angle_beta 90.00
_cell_angle_gamma 90.00
loop_
_atom_site_label
_atom_site_type_symbol
_atom_site_fract_x
_atom_site_fract_y
_atom_site_fract_z
Fe1 Fe 0.000 0.000 0.000
Re1 Re 0.000 0.000 0.500
P1 P 0.250 0.250 0.250
```



Entry iii
A plane-wave DFT calculation with GGA-PBE was carried out for a geometry-optimized FeReP2 structure.

The structure in CIF format:
```
data_FeReP2
_symmetry_space_group_name_H-M 'C 1 2/m 1'
_symmetry_Int_Tables_number 12
_cell_length_a 5.604
_cell_length_b 7.543
_cell_length_c 2.939
_cell_angle_alpha 90.00
_cell_angle_beta 119.45
_cell_angle_gamma 90.00
loop_
_symmetry_equiv_pos_as_xyz
'x,y,z'
'-x,-y,-z'
'-x,y,-z'
'x,-y,z'
'x+1/2,y+1/2,z'
'-x+1/2,-y+1/2,-z'
'-x+1/2,y+1/2,-z'
'x+1/2,-y+1/2,z'
loop_
_atom_site_label
_atom_site_type_symbol
_atom_site_fract_x
_atom_site_fract_y
_atom_site_fract_z
Fe1 Fe 0.000 0.000 0.000
Re1 Re 0.000 0.500 0.000
P1 P 0.250 0.250 0.000
```



Entry iv
A plane-wave DFT calculation with GGA-PBE was carried out for a geometry-optimized FeReP2 structure.

The structure in CIF format:
```
data_FeReP2
_symmetry_space_group_name_H-M 'C m m 2'
_symmetry_Int_Tables_number 35
_cell_length_a 2.981
_cell_length_b 4.487
_cell_length_c 9.440
_cell_angle_alpha 90.00
_cell_angle_beta 90.00
_cell_angle_gamma 90.00
loop_
_symmetry_equiv_pos_as_xyz
'x,y,z'
'-x,-y,z'
'-x,y,z'
'x,-y,z'
'x+1/2,y+1/2,z'
'-x+1/2,-y+1/2,z'
'-x+1/2,y+1/2,z'
'x+1/2,-y+1/2,z'
loop_
_atom_site_label
_atom_site_type_symbol
_atom_site_fract_x
_atom_site_fract_y
_atom_site_fract_z
Fe1 Fe 0.000 0.000 0.000
Re1 Re 0.000 0.500 0.765
P1 P 0.000 0.000 0.563
P2 P 0.000 0.500 0.183
```



Which of them is most stable, and which least? Most stable: entry ii; least stable: entry iii.



Entry i
A plane-wave DFT calculation with GGA-PBE was carried out for a geometry-optimized Ti2FeReP structure.

The structure in CIF format:
```
data_Ti2FeReP
_symmetry_space_group_name_H-M 'P 4/m m m'
_symmetry_Int_Tables_number 123
_symmetry_space_group_name_Hall '-P 4 2'
_cell_length_a 4.742
_cell_length_b 4.742
_cell_length_c 4.350
_cell_angle_alpha 90.00
_cell_angle_beta 90.00
_cell_angle_gamma 90.00
loop_
_atom_site_label
_atom_site_type_symbol
_atom_site_fract_x
_atom_site_fract_y
_atom_site_fract_z
Ti1 Ti 0.000 0.500 0.000
Fe1 Fe 0.000 0.000 0.500
Re1 Re 0.000 0.000 0.000
P1 P 0.500 0.500 0.500
```



Entry ii
A plane-wave DFT calculation with GGA-PBE was carried out for a geometry-optimized Ti2FeReP structure.

The structure in CIF format:
```
data_Ti2FeReP
_symmetry_space_group_name_H-M 'P 4/m m m'
_symmetry_Int_Tables_number 123
_symmetry_space_group_name_Hall '-P 4 2'
_cell_length_a 4.784
_cell_length_b 4.784
_cell_length_c 4.402
_cell_angle_alpha 90.00
_cell_angle_beta 90.00
_cell_angle_gamma 90.00
loop_
_atom_site_label
_atom_site_type_symbol
_atom_site_fract_x
_atom_site_fract_y
_atom_site_fract_z
Ti1 Ti 0.000 0.500 0.000
Fe1 Fe 0.000 0.000 0.500
Re1 Re 0.500 0.500 0.000
P1 P 0.500 0.500 0.500
```



Entry iii
A plane-wave DFT calculation with GGA-PBE was carried out for a geometry-optimized Ti2FeReP structure.

The structure in CIF format:
```
data_Ti2FeReP
_symmetry_space_group_name_H-M 'P 4/m m m'
_symmetry_Int_Tables_number 123
_symmetry_space_group_name_Hall '-P 4 2'
_cell_length_a 4.498
_cell_length_b 4.498
_cell_length_c 3.915
_cell_angle_alpha 90.00
_cell_angle_beta 90.00
_cell_angle_gamma 90.00
loop_
_atom_site_label
_atom_site_type_symbol
_atom_site_fract_x
_atom_site_fract_y
_atom_site_fract_z
Ti1 Ti 0.000 0.500 0.000
Fe1 Fe 0.000 0.000 0.500
Re1 Re 0.500 0.500 0.500
P1 P 0.000 0.000 0.000
```



Which of them is most stable, and which least? Most stable: entry iii; least stable: entry ii.



Entry i
A plane-wave DFT calculation with GGA-PBE was carried out for a geometry-optimized FeP2Rh structure.

The structure in CIF format:
```
data_FeP2Rh
_symmetry_space_group_name_H-M 'C 1 m 1'
_symmetry_Int_Tables_number 8
_cell_length_a 7.223
_cell_length_b 3.264
_cell_length_c 4.631
_cell_angle_alpha 90.00
_cell_angle_beta 104.16
_cell_angle_gamma 90.00
loop_
_symmetry_equiv_pos_as_xyz
'x,y,z'
'x,-y,z'
'x+1/2,y+1/2,z'
'x+1/2,-y+1/2,z'
loop_
_atom_site_label
_atom_site_type_symbol
_atom_site_fract_x
_atom_site_fract_y
_atom_site_fract_z
Fe1 Fe 0.000 0.000 0.000
P1 P 0.016 0.500 0.663
P2 P 0.304 0.000 0.065
Rh1 Rh 0.273 0.500 0.423
```



Entry ii
A plane-wave DFT calculation with GGA-PBE was carried out for a geometry-optimized FeP2Rh structure.

The structure in CIF format:
```
data_FeP2Rh
_symmetry_space_group_name_H-M 'P 4 m m'
_symmetry_Int_Tables_number 99
_cell_length_a 3.225
_cell_length_b 3.225
_cell_length_c 4.848
_cell_angle_alpha 90.00
_cell_angle_beta 90.00
_cell_angle_gamma 90.00
loop_
_symmetry_equiv_pos_as_xyz
'x,y,z'
'-y,x,z'
'-x,-y,z'
'y,-x,z'
'-x,y,z'
'y,x,z'
'x,-y,z'
'-y,-x,z'
loop_
_atom_site_label
_atom_site_type_symbol
_atom_site_fract_x
_atom_site_fract_y
_atom_site_fract_z
Fe1 Fe 0.000 0.000 0.000
P1 P 0.000 0.000 0.478
P2 P 0.500 0.500 0.131
Rh1 Rh 0.500 0.500 0.633
```



Which of them is most stable, and which least? Most stable: entry i; least stable: entry ii.



Entry i
A plane-wave DFT calculation with GGA-PBE was carried out for a geometry-optimized FeP2Ru structure.

The structure in CIF format:
```
data_FeP2Ru
_symmetry_space_group_name_H-M 'I -4 2 d'
_symmetry_Int_Tables_number 122
_symmetry_space_group_name_Hall 'I -4 2bw'
_cell_length_a 5.103
_cell_length_b 5.103
_cell_length_c 10.125
_cell_angle_alpha 90.00
_cell_angle_beta 90.00
_cell_angle_gamma 90.00
loop_
_atom_site_label
_atom_site_type_symbol
_atom_site_fract_x
_atom_site_fract_y
_atom_site_fract_z
Fe1 Fe 0.000 0.000 0.000
P1 P 0.231 0.250 0.125
Ru1 Ru 0.000 0.000 0.500
```



Entry ii
A plane-wave DFT calculation with GGA-PBE was carried out for a geometry-optimized FeP2Ru structure.

The structure in CIF format:
```
data_FeP2Ru
_symmetry_space_group_name_H-M 'R 3 m'
_symmetry_Int_Tables_number 160
_symmetry_space_group_name_Hall 'R 3 -2"'
_cell_length_a 2.9435
_cell_length_b 2.9435
_cell_length_c 21.3098
_cell_angle_alpha 90.00
_cell_angle_beta 90.00
_cell_angle_gamma 120.00
loop_
_atom_site_label
_atom_site_type_symbol
_atom_site_fract_x
_atom_site_fract_y
_atom_site_fract_z
Fe1 Fe 0.0000 0.0000 0.0000
P1 P 0.0000 0.0000 0.4915
P2 P 0.0000 0.0000 0.7344
Ru1 Ru 0.0000 0.0000 0.2314
```



Which of them is most stable, and which least? Most stable: entry i; least stable: entry ii.